# 1
Entry from Alexandria: a relaxed structure of Cs2NaGe (GGA-PBE).

POSCAR file:
```
Cs2NaGe
1.0
-2.7159 2.7159 12.7805
2.7159 -2.7159 12.7805
2.7159 2.7159 -12.7805
Cs Na Ge
4 2 2
Cartesian
4.0739 1.3315 -3.1951
1.3315 1.3580 3.1951
-1.3580 1.3844 9.5854
1.3844 1.3580 15.9756
2.7159 0.0000 6.3902
0.0000 0.0000 12.7805
0.0000 0.0000 0.0000
0.0000 2.7159 6.3902
```

Results
**Excess energy over the best structure of this formula in the dataset**: 368.0 meV per atom



# 2
Entry from Alexandria: a relaxed structure of Cs2NaGe (GGA-PBE).

POSCAR file:
```
Cs2NaGe
1.0
0.0000 4.6055 4.6055
4.6055 0.0000 4.6055
4.6055 4.6055 0.0000
Cs Na Ge
2 1 1
Cartesian
2.3028 2.3028 2.3028
6.9083 6.9083 6.9083
0.0000 0.0000 0.0000
4.6055 4.6055 4.6055
```

Results
**Excess energy over the best structure of this formula in the dataset**: 233.9 meV per atom



# 3
Entry from Alexandria: a relaxed structure of Cs2Na2Ge (GGA-PBE).

POSCAR file:
```
Cs2Na2Ge
1.0
8.2467 0.0000 0.0000
0.0000 8.2467 0.0000
0.0000 0.0000 6.6643
Cs Na Ge
4 4 2
Cartesian
1.5508 2.5725 0.0000
2.5725 6.6959 0.0000
5.6742 1.5508 0.0000
6.6959 5.6742 0.0000
1.4708 5.5942 3.3321
2.6525 1.4708 3.3321
5.5942 6.7759 3.3321
6.7759 2.6525 3.3321
0.0000 0.0000 3.3321
4.1233 4.1233 3.3321
```

Results
**Energy**: -1.68 eV/atom



# 4
Entry from Alexandria: a relaxed structure of Cs5Na2Ge4 (GGA-PBE).

POSCAR file:
```
Cs5Na2Ge4
1.0
5.6172 -4.9005 0.0000
5.6172 4.9005 0.0000
-4.4643 0.0000 12.1525
Cs Na Ge
5 2 4
Cartesian
0.0000 0.0000 0.0000
1.5580 2.2758 8.1923
5.2121 2.2758 3.9602
1.5580 -2.2758 8.1923
5.2121 -2.2758 3.9602
3.9901 0.0000 0.5623
2.7800 0.0000 11.5902
2.1662 0.0000 2.9742
2.3318 0.0000 5.3221
4.4383 0.0000 6.8304
4.6039 0.0000 9.1783
```

Results
**Energy**: -2.30 eV/atom



# 5
Entry from Alexandria: a relaxed structure of Cs2NaGe (GGA-PBE).

POSCAR file:
```
Cs2NaGe
1.0
12.4896 0.0000 0.0000
0.0000 7.4427 0.0000
-3.8484 0.0000 9.1757
Cs Na Ge
8 4 4
Cartesian
2.0025 1.8535 0.7914
0.0783 1.8679 5.3792
1.5518 5.5419 3.2774
-0.3724 5.6222 7.8653
9.0136 1.8206 1.3104
7.0895 1.9008 5.8982
8.5629 5.5749 3.7965
6.6387 5.5892 8.3843
5.4564 3.7718 1.8206
3.5322 7.3923 6.4085
5.1090 0.0505 2.7672
3.1848 3.6709 7.3551
1.7753 1.0461 8.8646
3.6995 2.6753 4.2767
4.9417 4.7674 4.8990
6.8659 6.3967 0.3111
```

Results
**Excess energy over the best structure of this formula in the dataset**: 0.0 meV per atom



# 6
Entry from Alexandria: a relaxed structure of CsNaNbGe2 (GGA-PBE).

POSCAR file:
```
CsNaNbGe2
1.0
5.3242 0.0000 0.0000
0.0000 5.3242 0.0000
0.0000 0.0000 5.4913
Cs Na Nb Ge
1 1 1 2
Cartesian
0.0000 0.0000 0.0000
2.6621 2.6621 2.7456
2.6621 2.6621 0.0000
0.0000 2.6621 2.7456
2.6621 0.0000 2.7456
```

Results
**Energy**: -2.99 eV/atom



# 7
Entry from Alexandria: a relaxed structure of Cs2NaGeO4 (GGA-PBE).

POSCAR file:
```
Cs2NaGeO4
1.0
0.0000 6.2641 11.1429
2.7809 0.0000 11.1429
2.7809 6.2641 0.0000
Cs Na Ge O
4 2 2 8
Cartesian
2.0857 4.6981 1.1279
3.4762 7.8302 6.6993
2.0857 4.6981 15.5864
3.4762 7.8302 21.1578
0.6952 1.5660 2.7857
4.8666 10.9622 19.5000
2.0857 4.6981 8.3572
3.4762 7.8302 13.9286
3.1445 3.6250 7.3933
3.1445 5.7712 9.3210
4.5350 6.7571 14.8924
4.5350 8.9033 12.9648
1.0269 3.6250 9.3210
1.0269 5.7712 7.3933
2.4173 6.7571 12.9648
2.4173 8.9033 14.8924
```

Results
**Energy relative to the elements, uncorrected**: -1384 meV/atom



# 8
Entry from Alexandria: a relaxed structure of CsNaGeO3 (GGA-PBE).

POSCAR file:
```
CsNaGeO3
1.0
3.0196 -5.7613 0.0000
3.0196 5.7613 0.0000
0.0000 0.0000 5.5255
Cs Na Ge O
2 2 2 6
Cartesian
3.0196 3.0810 4.1441
3.0196 -3.0810 1.3814
3.0196 4.8373 1.3814
3.0196 -4.8373 4.1441
3.0196 0.5667 1.3814
3.0196 -0.5667 4.1441
1.7736 0.0000 0.0000
1.7736 0.0000 2.7627
3.0196 2.3206 1.3814
3.0196 -2.3206 4.1441
4.2655 0.0000 0.0000
4.2655 0.0000 2.7627
```

Results
**Energy relative to the elements, uncorrected**: -1676 meV/atom